A relaxed structure of Pr2Er7Mg, computed with GGA-PBE.

Values from the calculation:
Formation energy: 0.179 eV per atom

Lattice parameters (Å, degrees): 3.4201 14.7255 14.7255 154.64 90.00 90.00
Closest atoms and distances in Å follow each position.
Fractional coordinates of all 10 atoms:
Mg 0.0000 0.0000 0.0000  2 Mg 3.42, 12 Er 3.61-3.66
Er 0.0000 0.8171 0.1829  6 Er 3.42, 6 Pr 3.59-3.72
Er 0.5000 0.3415 0.1497  7 Er 3.17-3.42
Er 0.5000 0.6585 0.8503  7 Er 3.17-3.42
Er 0.5000 0.8504 0.6585  7 Er 3.17-3.42
Er 0.5000 0.1496 0.3415  7 Er 3.17-3.42
Er 0.0000 0.1829 0.8171  6 Er 3.42, 6 Pr 3.59-3.72
Er 0.5000 0.5000 0.5000  6 Er 3.21-3.42
Pr 0.5000 0.7071 0.2929  2 Pr 3.42, 8 Er 3.59-3.72
Pr 0.5000 0.2929 0.7071  2 Pr 3.42, 8 Er 3.59-3.72



A relaxed structure of TmIn4HgO8, computed with GGA-PBE.

Values from the calculation:
E_form (uncorrected): -23.5 eV per formula unit

Lattice parameters (Å, degrees): 6.6415 6.6415 6.7026 60.30 60.30 60.00
Closest atoms and distances in Å follow each position.
Fractional coordinates of all 14 atoms:
O 0.2355 0.7964 0.7326  2 In 2.21, 1 Tm 2.23, 1 Hg 2.30
O 0.7964 0.2355 0.7326  2 In 2.21, 1 Tm 2.23, 1 Hg 2.30
O 0.7587 0.2212 0.2614  3 In 2.19-2.27, 1 Tm 2.29
O 0.2212 0.7587 0.2614  3 In 2.19-2.27, 1 Tm 2.29
O 0.7587 0.7587 0.2614  3 In 2.19-2.27, 1 Tm 2.29
O 0.2331 0.2331 0.3006  3 In 2.20, 1 Hg 2.32
O 0.7620 0.7620 0.7139  4 In 2.25-2.26
O 0.2355 0.2355 0.7326  2 In 2.21, 1 Tm 2.23, 1 Hg 2.30
In 0.0004 0.0004 0.5008  6 O 2.20-2.27
In 0.0004 0.4984 0.5008  6 O 2.20-2.27
In 0.4984 0.0004 0.5008  6 O 2.20-2.27
In 0.6251 0.6251 0.1248  4 O 2.19-2.26
Tm 0.0009 0.0009 0.9974  6 O 2.23-2.29
Hg 0.3738 0.3738 0.8785  4 O 2.30-2.32